A relaxed structure of Tl2WF7, computed with PBE with a Hubbard U.

Its symmetry is C2/c (15). The uncorrected energy comes out at -97.98 eV per cell.

a b c (Å): 8.0026 8.0026 10.0349
angles (deg): 126.07 126.07 53.38
Closest atoms and distances in Å follow each position.
Sites, in units of the cell vectors:
Tl1 0.1223 0.2537 0.2718  7 F 2.82-2.93
Tl2 0.2537 0.1223 0.7718  7 F 2.82-2.93
Tl3 0.7463 0.8777 0.2282  7 F 2.82-2.93
Tl4 0.8777 0.7463 0.7282  7 F 2.82-2.93
W1 0.3940 0.6060 0.2500  7 F 1.99-2.02
W2 0.6060 0.3940 0.7500  7 F 1.99-2.02
F1 0.1167 0.8833 0.2500  1 W 1.99
F2 0.1720 0.5277 0.2183  1 W 2.02
F3 0.2705 0.5104 0.6445  1 W 2.01
F4 0.2721 0.5574 0.9962  1 W 1.99
F5 0.4426 0.7279 0.5038  1 W 1.99
F6 0.4723 0.8280 0.2817  1 W 2.02
F7 0.4896 0.7295 0.8555  1 W 2.01
F8 0.5104 0.2705 0.1445  1 W 2.01
F9 0.5277 0.1720 0.7183  1 W 2.02
F10 0.5574 0.2721 0.4962  1 W 1.99
F11 0.7279 0.4426 0.0038  1 W 1.99
F12 0.7295 0.4896 0.3555  1 W 2.01
F13 0.8280 0.4723 0.7817  1 W 2.02
F14 0.8833 0.1167 0.7500  1 W 1.99